[1]
The following is a DFT calculation (GGA-PBE) of crystalline ScTeIr2 at its relaxed geometry.

Summary:
Its total moment is 0.00 μB/atom. The energy is -7.16 eV/atom. The value obtained for the density of states at the Fermi level is 0.36 states/eV per atom. The space group is No. 139. Its energy relative to the elements, uncorrected is -1.5 eV/f.u.

a b c (Å): 4.958 4.958 4.958
angles (deg): 130.20 130.20 73.08
Element x y z (fractional)
Ir 0.000 0.000 0.000
Ir 0.500 0.500 0.000
Sc 0.250 0.750 0.500
Te 0.750 0.250 0.500

[2]
The following is a DFT calculation (GGA-PBE) of crystalline Sc2TeIr at its relaxed geometry.

Summary:
Its total moment is 0.00 μB/atom. The energy is -6.96 eV/atom. The value obtained for the density of states at the Fermi level is 0.69 states/eV per atom. The space group is No. 10. Its energy relative to the elements, uncorrected is -3.2 eV/f.u.

a b c (Å): 3.434 3.471 7.711
angles (deg): 63.29 90.00 90.00
Element x y z (fractional)
Ir 0.500 0.750 0.750
Sc 0.000 0.028 0.971
Sc 0.000 0.472 0.529
Te 0.500 0.250 0.250

[3]
The following is a DFT calculation (GGA-PBE) of crystalline Sc2TeIr at its relaxed geometry.

Summary:
Its total moment is 0.00 μB/atom. The energy is -6.92 eV/atom. The value obtained for the density of states at the Fermi level is 0.97 states/eV per atom. The space group is No. 99. Its energy relative to the elements, uncorrected is -3.0 eV/f.u.

a b c (Å): 3.870 3.870 6.120
angles (deg): 90.00 90.00 90.00
Element x y z (fractional)
Ir 0.500 0.500 0.871
Sc 0.000 0.000 0.923
Sc 0.500 0.500 0.269
Te 0.000 0.000 0.437

[4]
The following is a DFT calculation (GGA-PBE) of crystalline ScTeIr2 at its relaxed geometry.

Summary:
Its total moment is 0.00 μB/atom. The energy is -6.77 eV/atom. The value obtained for the density of states at the Fermi level is 1.57 states/eV per atom. The space group is No. 216. Its energy relative to the elements, uncorrected is 0.1 eV/f.u.

a b c (Å): 4.659 4.659 4.659
angles (deg): 60.00 60.00 60.00
Element x y z (fractional)
Ir 0.000 0.000 0.000
Ir 0.250 0.250 0.250
Sc 0.500 0.500 0.500
Te 0.750 0.750 0.750

energy of number 4 (ScTeIr2)?
-6.77 eV/atom

energy of number 4 (ScTeIr2)?
-6.77 eV/atom